(1)
KHfHgRh2: relaxed, PBE.

Summary:
size of the total moment	0.0000	μB per atom
volume	27.31	Å³ per atom
formation energy from the elements	1240.7	meV per atom
energy	-3.970	eV per atom

CIF file:
```
data_KHfHgRh2
_cell_length_a 5.162
_cell_length_b 5.162
_cell_length_c 5.125
_cell_angle_alpha 90.00
_cell_angle_beta 90.00
_cell_angle_gamma 90.00
_space_group_name_H-M_alt 'P 4/m m m'
_space_group_IT_number 123
_space_group_name_Hall '-P 4 2'
loop_
_atom_site_label
_atom_site_type_symbol
_atom_site_fract_x
_atom_site_fract_y
_atom_site_fract_z
K1 K 0.000 0.000 0.000
Hf1 Hf 0.500 0.500 0.000
Hg1 Hg 0.500 0.500 0.500
Rh1 Rh 0.000 0.500 0.500
```

---

(2)
UCo3P2: relaxed, PBE.

Summary:
size of the total moment	0.1730	μB per atom
volume	13.06	Å³ per atom
relative energy among the computed polymorphs	0	meV/atom
formation energy from the elements	-759.8	meV per atom
energy	-7.997	eV per atom

CIF file:
```
data_UCo3P2
_cell_length_a 14.948
_cell_length_b 3.667
_cell_length_c 9.012
_cell_angle_alpha 90.00
_cell_angle_beta 107.86
_cell_angle_gamma 90.00
_space_group_name_H-M_alt 'C 1 2/m 1'
_space_group_IT_number 12
_space_group_name_Hall '-C 2y'
loop_
_atom_site_label
_atom_site_type_symbol
_atom_site_fract_x
_atom_site_fract_y
_atom_site_fract_z
U1 U 0.000 0.000 0.000
U2 U 0.159 0.000 0.700
Co1 Co 0.000 0.500 0.500
Co2 Co 0.044 0.000 0.335
Co3 Co 0.116 0.500 0.198
Co4 Co 0.180 0.500 0.969
Co5 Co 0.218 0.000 0.392
P1 P 0.040 0.500 0.779
P2 P 0.139 0.500 0.450
P3 P 0.197 0.000 0.127
```

---

Look up the formation energy from the elements of the first one.
1240.7 meV per atom

---

What is the volume in the first record?
27.31 Å³ per atom

---

Which value of formation energy from the elements does entry 1 give?
1240.7 meV per atom